Model i:
A plane-wave DFT calculation with PBE was carried out for Nd4Ho5Th after structural relaxation.

Unit cell a=3.606 b=3.606 c=25.247 alpha=90.00 beta=90.00 gamma=90.00
Space group P4/mmm (No. 123)
One atom of each set of equivalent atoms:
Nd1 0.000 0.000 0.100
Nd2 0.000 0.000 0.302
Ho1 0.500 0.500 0.000
Ho2 0.500 0.500 0.201
Ho3 0.500 0.500 0.405
Th1 0.000 0.000 0.500



Model ii:
A plane-wave DFT calculation with PBE was carried out for Nd4Ho5Th after structural relaxation.

Unit cell a=25.623 b=3.616 c=7.148 alpha=90.00 beta=97.85 gamma=90.00
Space group C2/m (No. 12)
One atom of each set of equivalent atoms:
Nd1 0.098 0.000 0.299
Nd2 0.200 0.500 0.101
Ho1 0.000 0.500 0.500
Ho2 0.097 0.000 0.802
Ho3 0.200 0.500 0.602
Th1 0.000 0.500 0.000



The structure with the most favorable energy is model i; the runner-up is 0.8 kJ/mol of atoms above it.



Model i:
A plane-wave DFT calculation with PBE was carried out for Nd5Ho12Th2 after structural relaxation.

Unit cell a=15.606 b=9.387 c=8.656 alpha=90.00 beta=92.52 gamma=90.00
Space group C2/m (No. 12)
One atom of each set of equivalent atoms:
Nd1 0.000 0.000 0.000
Nd2 0.204 0.500 0.523
Nd3 0.232 0.000 0.069
Ho1 0.056 0.500 0.832
Ho2 0.074 0.000 0.377
Ho3 0.130 0.309 0.169
Ho4 0.147 0.178 0.742
Th1 0.000 0.327 0.500



Model ii:
A plane-wave DFT calculation with PBE was carried out for Nd5Ho12Th2 after structural relaxation.

Unit cell a=17.699 b=9.269 c=8.701 alpha=90.00 beta=116.98 gamma=90.00
Space group C2/m (No. 12)
One atom of each set of equivalent atoms:
Nd1 0.000 0.000 0.000
Nd2 0.222 0.500 0.733
Nd3 0.237 0.000 0.809
Ho1 0.045 0.000 0.685
Ho2 0.078 0.500 0.240
Ho3 0.117 0.289 0.945
Ho4 0.147 0.178 0.419
Th1 0.000 0.333 0.500



The structure with the most favorable energy is model i; the runner-up is 9.4 kJ/mol of atoms above it.



Model i:
A plane-wave DFT calculation with PBE was carried out for NdHo4Th2 after structural relaxation.

Unit cell a=5.600 b=5.600 c=16.576 alpha=90.00 beta=90.00 gamma=90.00
Space group I4/mmm (No. 139)
One atom of each set of equivalent atoms:
Nd1 0.000 0.000 0.000
Ho1 0.000 0.000 0.180
Ho2 0.000 0.500 0.000
Th1 0.000 0.000 0.387



Model ii:
A plane-wave DFT calculation with PBE was carried out for NdHo4Th2 after structural relaxation.

Unit cell a=3.506 b=8.765 c=8.810 alpha=119.43 beta=90.05 gamma=101.49
Space group P-1 (No. 2)
One atom of each set of equivalent atoms:
Nd1 0.000 0.000 0.000
Ho1 0.294 0.587 0.705
Ho2 0.352 0.705 0.154
Th1 0.068 0.138 0.436



The structure with the most favorable energy is model ii; the runner-up is 68.6 kJ/mol of atoms above it.



Model i:
A plane-wave DFT calculation with PBE was carried out for Nd6Ho12Th after structural relaxation.

Unit cell a=12.2816 b=12.2816 c=14.4715 alpha=90.00 beta=90.00 gamma=120.00
Space group R-3 (No. 148, hexagonal axes)
One atom of each set of equivalent atoms:
Nd1 0.0261 0.5828 0.2197
Ho1 0.0542 0.8719 0.3056
Ho2 0.0672 0.1957 0.9039
Th1 0.0000 0.0000 0.5000



Model ii:
A plane-wave DFT calculation with PBE was carried out for Nd6Ho12Th after structural relaxation.

Unit cell a=13.3227 b=13.3227 c=12.4538 alpha=90.00 beta=90.00 gamma=120.00
Space group R-3m (No. 166, hexagonal axes)
One atom of each set of equivalent atoms:
Nd1 0.0385 0.5193 0.1192
Ho1 0.0000 0.2553 0.0000
Ho2 0.0905 0.1810 0.7590
Th1 0.0000 0.0000 0.5000



The structure with the most favorable energy is model i; the runner-up is 5.0 kJ/mol of atoms above it.



Model i:
A plane-wave DFT calculation with PBE was carried out for NdHo3Th after structural relaxation.

Unit cell a=3.567 b=16.694 c=11.683 alpha=90.00 beta=90.00 gamma=90.00
Space group Cmcm (No. 63)
One atom of each set of equivalent atoms:
Nd1 0.000 0.175 0.250
Ho1 0.000 0.159 0.750
Ho2 0.000 0.347 0.002
Th1 0.000 0.495 0.750



Model ii:
A plane-wave DFT calculation with PBE was carried out for NdHo3Th after structural relaxation.

Unit cell a=5.861 b=16.102 c=7.031 alpha=90.00 beta=90.18 gamma=90.00
Space group C2/m (No. 12)
One atom of each set of equivalent atoms:
Nd1 0.000 0.188 0.000
Ho1 0.001 0.000 0.256
Ho2 0.001 0.384 0.255
Th1 0.000 0.193 0.500



The structure with the most favorable energy is model ii; the runner-up is 19.3 kJ/mol of atoms above it.



Model i:
A plane-wave DFT calculation with PBE was carried out for NdHo3Th3 after structural relaxation.

Unit cell a=9.5030 b=9.5030 c=5.8406 alpha=90.00 beta=90.00 gamma=120.00
Space group P6_3/m (No. 176)
One atom of each set of equivalent atoms:
Nd1 0.3333 0.6667 0.2500
Ho1 0.0425 0.2372 0.2500
Th1 0.1009 0.4842 0.7500



Model ii:
A plane-wave DFT calculation with PBE was carried out for NdHo3Th3 after structural relaxation.

Unit cell a=9.4818 b=9.4818 c=5.8616 alpha=90.00 beta=90.00 gamma=120.00
Space group P6_3/m (No. 176)
One atom of each set of equivalent atoms:
Nd1 0.3333 0.6667 0.2500
Ho1 0.0912 0.4692 0.7500
Th1 0.0452 0.2332 0.2500



The structure with the most favorable energy is model ii; the runner-up is 2.3 kJ/mol of atoms above it.



Model i:
A plane-wave DFT calculation with PBE was carried out for NdHoTmTh after structural relaxation.

Unit cell a=3.5878 b=3.5878 c=34.5338 alpha=90.00 beta=90.00 gamma=120.00
Space group R3m (No. 160, hexagonal axes)
One atom of each set of equivalent atoms:
Nd1 0.0000 0.0000 0.0000
Ho1 0.0000 0.0000 0.2474
Tm1 0.0000 0.0000 0.4192
Th1 0.0000 0.0000 0.8333



Model ii:
A plane-wave DFT calculation with PBE was carried out for NdHoTmTh after structural relaxation.

Unit cell a=8.030 b=8.030 c=8.030 alpha=90.00 beta=90.00 gamma=90.00
Space group F-43m (No. 216)
One atom of each set of equivalent atoms:
Nd1 0.000 0.000 0.000
Ho1 0.250 0.250 0.750
Tm1 0.250 0.250 0.250
Th1 0.000 0.000 0.500



The structure with the most favorable energy is model i; the runner-up is 10.8 kJ/mol of atoms above it.



Model i:
A plane-wave DFT calculation with PBE was carried out for NdYHoTh after structural relaxation.

Unit cell a=8.077 b=8.077 c=8.077 alpha=90.00 beta=90.00 gamma=90.00
Space group F-43m (No. 216)
One atom of each set of equivalent atoms:
Nd1 0.000 0.000 0.000
Y1 0.250 0.250 0.750
Ho1 0.250 0.250 0.250
Th1 0.000 0.000 0.500



Model ii:
A plane-wave DFT calculation with PBE was carried out for NdYHoTh after structural relaxation.

Unit cell a=3.6057 b=3.6057 c=34.7651 alpha=90.00 beta=90.00 gamma=120.00
Space group R3m (No. 160, hexagonal axes)
One atom of each set of equivalent atoms:
Nd1 0.0000 0.0000 0.0000
Y1 0.0000 0.0000 0.4205
Ho1 0.0000 0.0000 0.2485
Th1 0.0000 0.0000 0.8351



The structure with the most favorable energy is model ii; the runner-up is 11.9 kJ/mol of atoms above it.



Model i:
A plane-wave DFT calculation with PBE was carried out for Nd3Ho6Tl after structural relaxation.

Unit cell a=12.823 b=3.516 c=14.363 alpha=90.00 beta=101.10 gamma=90.00
Space group P2_1/m (No. 11)
One atom of each set of equivalent atoms:
Nd1 0.076 0.250 0.101
Nd2 0.367 0.750 0.494
Nd3 0.422 0.250 0.902
Ho1 0.108 0.250 0.459
Ho2 0.191 0.750 0.921
Ho3 0.227 0.750 0.284
Ho4 0.243 0.750 0.687
Ho5 0.343 0.250 0.118
Ho6 0.488 0.250 0.690
Tl1 0.036 0.250 0.725



Model ii:
A plane-wave DFT calculation with PBE was carried out for Nd3Ho6Tl after structural relaxation.

Unit cell a=12.965 b=3.574 c=14.523 alpha=90.00 beta=108.62 gamma=90.00
Space group P2_1/m (No. 11)
One atom of each set of equivalent atoms:
Nd1 0.010 0.250 0.396
Nd2 0.377 0.250 0.000
Nd3 0.466 0.250 0.592
Ho1 0.137 0.750 0.023
Ho2 0.144 0.250 0.811
Ho3 0.217 0.250 0.600
Ho4 0.251 0.750 0.394
Ho5 0.331 0.250 0.218
Ho6 0.383 0.750 0.790
Tl1 0.076 0.250 0.192



The structure with the most favorable energy is model ii; the runner-up is 2.5 kJ/mol of atoms above it.



Model i:
A plane-wave DFT calculation with PBE was carried out for NdHo2Tl after structural relaxation.

Unit cell a=7.768 b=7.768 c=7.768 alpha=90.00 beta=90.00 gamma=90.00
Space group Fm-3m (No. 225)
One atom of each set of equivalent atoms:
Nd1 0.000 0.000 0.000
Ho1 0.250 0.250 0.250
Tl1 0.000 0.000 0.500



Model ii:
A plane-wave DFT calculation with PBE was carried out for NdHo2Tl after structural relaxation.

Unit cell a=3.645 b=3.645 c=9.140 alpha=90.00 beta=90.00 gamma=90.00
Space group P4/mmm (No. 123)
One atom of each set of equivalent atoms:
Nd1 0.000 0.000 0.000
Ho1 0.500 0.500 0.276
Tl1 0.000 0.000 0.500



Model iii:
A plane-wave DFT calculation with PBE was carried out for NdHo2Tl after structural relaxation.

Unit cell a=4.620 b=12.560 c=8.736 alpha=90.00 beta=90.00 gamma=90.00
Space group Cmcm (No. 63)
One atom of each set of equivalent atoms:
Nd1 0.000 0.057 0.250
Ho1 0.000 0.365 0.052
Tl1 0.000 0.233 0.750



The structure with the most favorable energy is model ii; the runner-up is 6.9 kJ/mol of atoms above it.